Computed, not measured: TbTmIn4 after structural relaxation at the GGA-PBE level of DFT.

offset from the most stable computed form	256	meV/atom
SG	Cmmm, No. 65

Lattice parameters (Å, degrees): 4.852 4.852 7.825 90.00 90.00 90.66
Atoms (fractional coordinates):
Tb (0.000, 0.000, 0.000)
Tm (0.500, 0.500, 0.500)
In (0.000, 0.500, 0.257)
In (0.000, 0.500, 0.743)
In (0.500, 0.000, 0.257)
In (0.500, 0.000, 0.743)

Computed, not measured: LiBe3Br after structural relaxation at the GGA-PBE level of DFT.

offset from the most stable computed form	0	meV/atom
uncorrected formation energy	1279	meV per atom
SG	Pm-3m, No. 221

Lattice parameters (Å, degrees): 4.361 4.361 4.361 90.00 90.00 90.00
Atoms (fractional coordinates):
Li (0.000, 0.000, 0.000)
Be (0.000, 0.000, 0.500)
Be (0.000, 0.500, 0.000)
Be (0.500, 0.000, 0.000)
Br (0.500, 0.500, 0.500)

Computed, not measured: GdLuBeOs after structural relaxation at the GGA-PBE level of DFT.

final energy	-8.474	eV/atom
SG	F-43m, No. 216

Lattice parameters (Å, degrees): 4.797 4.797 4.797 60.00 60.00 60.00
Atoms (fractional coordinates):
Gd (0.000, 0.000, 0.000)
Lu (0.500, 0.500, 0.500)
Be (0.750, 0.750, 0.750)
Os (0.250, 0.250, 0.250)

Computed, not measured: PmCdAu after structural relaxation at the GGA-PBE level of DFT.

offset from the most stable computed form	144	meV/atom
SG	F-43m, No. 216

Lattice parameters (Å, degrees): 4.880 4.880 4.880 60.00 60.00 60.00
Atoms (fractional coordinates):
Pm (0.000, 0.000, 0.000)
Cd (0.500, 0.500, 0.500)
Au (0.750, 0.750, 0.750)

Number 1: mass density 7.1 g/cm³. Number 2: mass density 2.3 g/cm³. Number 3: mass density 11.3 g/cm³. Number 4: mass density 9.2 g/cm³.